# P2PdSCl

A relaxed structure of P2PdSCl (PBE, Alexandria).

Lattice parameters (Å, degrees): 4.6070 4.6070 4.4978 90.00 90.00 90.00
Sites, in units of the cell vectors:
P 0.0000 0.5000 0.0000
P 0.5000 0.0000 0.0000
Pd 0.0000 0.0000 0.5000
S 0.5000 0.5000 0.0000
Cl 0.5000 0.5000 0.5000

Calculated values
E_form (uncorrected) (eV/atom): 0.975
Volume (A^3/atom): 19.09
Distance to the lowest polymorph of the same formula (eV per formula unit): 0.85